1.
Density functional theory data (PBE) for a relaxed structure of TlSn2S3.

```
12
Lattice="-3.122 -1.168 1.769 4.350 -5.278 4.192 1.543 7.214 7.482" Properties=species:S:1:pos:R:3 pbc="T T T"
S 0.861 2.842 7.417
S 2.417 -2.688 6.514
S 1.424 1.801 3.701
S 2.834 2.585 10.729
S -0.685 -1.062 2.115
S 3.944 0.772 7.467
Tl 1.330 6.024 6.321
Tl 2.454 -1.529 3.321
Sn 3.465 3.200 8.225
Sn 0.319 1.295 1.417
Sn 1.420 0.304 6.729
Sn -0.742 3.004 4.698
```

Output
Its total magnetization is 0.0 μB/cell. The value obtained for the total energy is -0.1517 Ha/atom. The value obtained for the density of states at the Fermi level is 4.60 states/eV/cell. As for the uncorrected formation energy: -336 meV/atom.

=====

2.
Density functional theory data (PBE) for a relaxed structure of Li2ScFe.

```
4
Lattice="2.755 0.025 0.000 -0.925 2.595 0.000 0.000 0.000 9.620" Properties=species:S:1:pos:R:3 pbc="T T T"
Fe 0.915 1.310 7.215
Li 0.000 0.000 5.070
Li 0.000 0.000 9.360
Sc 0.915 1.310 2.405
```

Output
Its total magnetization is 2.7 μB/cell. The value obtained for the total energy is -0.1565 Ha/atom. The value obtained for the density of states at the Fermi level is 4.42 states/eV/cell. Its formation energy is 0.396 eV per atom. As for the energy above the most stable polymorph in this dataset: 0.221 eV/atom.

=====

3.
Density functional theory data (PBE) for a relaxed structure of NdDy6Sc.

```
8
Lattice="5.000 0.000 0.000 0.000 5.000 0.000 0.000 0.000 9.936" Properties=species:S:1:pos:R:3 pbc="T T T"
Dy 2.500 2.500 0.000
Dy 2.500 0.000 7.379
Dy 2.500 2.500 4.968
Dy 0.000 2.500 7.379
Dy 2.500 0.000 2.557
Dy 0.000 2.500 2.557
Nd 0.000 0.000 0.000
Sc 0.000 0.000 4.968
```

Output
Its total magnetization is 0.0 μB/cell. The value obtained for the total energy is -0.1765 Ha/atom. The value obtained for the density of states at the Fermi level is 12.83 states/eV/cell. Its formation energy is 0.036 eV per atom. As for the energy above the most stable polymorph in this dataset: 0.000 eV/atom.

=====

4.
Density functional theory data (PBE) for a relaxed structure of KRb2PuF8.

```
12
Lattice="-5.187 3.013 -1.592 -0.857 -3.959 -4.702 -0.146 -3.091 6.724" Properties=species:S:1:pos:R:3 pbc="T T T"
F -5.275 0.193 -1.636
F -3.062 -0.773 3.609
F -2.235 -1.573 -0.704
F -5.622 -1.412 -3.543
F -3.564 -3.093 0.853
F -2.582 -3.178 -2.610
F -0.959 -1.995 4.254
F -1.461 -4.315 1.498
Pu -2.012 -3.761 -0.562
Rb 0.000 0.000 0.000
Rb -4.177 -0.275 0.993
K -3.022 -0.473 -3.147
```

Output
Its total magnetization is 3.0 μB/cell. The value obtained for the total energy is -0.2108 Ha/atom. The value obtained for the density of states at the Fermi level is 2.08 states/eV/cell. As for the uncorrected formation energy: -3042 meV/atom.

=====

5.
Density functional theory data (PBE) for a relaxed structure of CuHg2SeS.

```
5
Lattice="-2.574 -4.137 -2.041 2.297 -2.722 2.622 -3.708 0.466 3.733" Properties=species:S:1:pos:R:3 pbc="T T T"
Hg -1.854 0.233 1.866
Hg -1.287 -2.068 -1.020
S -1.993 -3.196 2.157
Se 1.148 -1.361 1.311
Cu 0.000 0.000 0.000
```

Output
Its total magnetization is 0.0 μB/cell. The value obtained for the total energy is -0.0718 Ha/atom. The value obtained for the density of states at the Fermi level is 7.50 states/eV/cell. As for the uncorrected formation energy: 508 meV/atom.

=====

6.
Density functional theory data (PBE) for a relaxed structure of GdHfZnRh.

```
4
Lattice="-3.426 -0.089 3.386 0.782 -2.304 4.159 0.573 2.509 4.073" Properties=species:S:1:pos:R:3 pbc="T T T"
Rh -1.036 0.058 5.809
Zn 0.000 0.000 0.000
Gd -1.554 0.087 8.713
Hf -0.518 0.029 2.904
```

Output
Its total magnetization is 7.3 μB/cell. The value obtained for the total energy is -0.3156 Ha/atom. The value obtained for the density of states at the Fermi level is 3.71 states/eV/cell. Its formation energy is -0.423 eV per atom.

=====

7.
Density functional theory data (PBE) for a relaxed structure of UAg3I6Br2.

```
12
Lattice="7.405 0.000 -0.546 0.000 8.580 0.000 -1.788 -4.290 7.230" Properties=species:S:1:pos:R:3 pbc="T T T"
I 0.461 -2.200 5.502
I 5.156 2.090 1.182
I 5.156 6.490 1.182
I 4.162 4.290 4.988
I 1.455 0.000 1.696
I 0.461 2.200 5.502
Ag 2.808 2.145 3.342
Ag 0.000 4.290 0.000
Ag 2.808 -2.145 3.342
Br 4.096 0.000 4.634
Br 1.521 4.290 2.051
U 3.703 0.000 -0.273
```

Output
Its total magnetization is 0.9 μB/cell. The value obtained for the total energy is -0.1177 Ha/atom. As for the uncorrected formation energy: -496 meV/atom.

=====

8.
Density functional theory data (PBE) for a relaxed structure of Li2Mg2BPt4.

```
9
Lattice="-3.606 1.346 4.199 -1.829 -3.016 -4.473 4.114 -3.836 0.894" Properties=species:S:1:pos:R:3 pbc="T T T"
Pt -1.258 -1.062 1.231
Pt -0.310 -3.225 -3.102
Pt -0.062 -4.443 -0.611
Pt 2.596 -3.627 -0.477
B 0.000 0.000 0.000
Mg -2.146 -2.548 -1.032
Mg 0.826 -2.958 1.652
Li 1.655 -4.960 -2.591
Li -2.975 -0.546 3.210
```

Output
Its total magnetization is 0.0 μB/cell. The value obtained for the total energy is -0.1809 Ha/atom. The value obtained for the density of states at the Fermi level is 2.98 states/eV/cell. Its formation energy is -0.715 eV per atom.

=====

9.
Density functional theory data (PBE) for a relaxed structure of CePmOsAu.

```
4
Lattice="-2.683 -3.645 -2.267 2.225 -4.369 -1.261 -1.141 -4.241 2.518" Properties=species:S:1:pos:R:3 pbc="T T T"
Os -0.800 -6.127 -0.505
Ce -0.400 -3.064 -0.253
Au 0.000 0.000 0.000
Pm -1.199 -9.191 -0.758
```

Output
Its total magnetization is 0.5 μB/cell. The value obtained for the total energy is -0.2428 Ha/atom. The value obtained for the density of states at the Fermi level is 7.23 states/eV/cell. Its formation energy is -0.310 eV per atom.

=====

10.
Density functional theory data (PBE) for a relaxed structure of AcPm2Pr4Tm.

```
8
Lattice="-1.792 -4.148 -4.110 5.065 1.010 -3.228 8.702 -4.509 0.756" Properties=species:S:1:pos:R:3 pbc="T T T"
Pr 1.716 -5.125 -4.654
Pr 10.259 -2.522 -1.928
Pr 6.827 -5.100 -2.369
Pr 5.148 -2.547 -4.213
Pm 3.455 -4.328 -1.677
Pm 8.702 -4.509 0.756
Ac 1.637 -1.569 -3.669
Tm 6.884 -1.749 -1.236
```

Output
Its total magnetization is 0.0 μB/cell. The value obtained for the total energy is -0.1667 Ha/atom. The value obtained for the density of states at the Fermi level is 17.62 states/eV/cell. Its formation energy is 0.114 eV per atom.

=====

11.
Density functional theory data (PBE) for a relaxed structure of B3Ir2.

```
10
Lattice="-1.654 -2.829 -0.392 5.966 -3.126 -2.618 -1.699 0.176 5.892" Properties=species:S:1:pos:R:3 pbc="T T T"
B -0.809 -2.764 2.517
B 3.423 -3.015 0.364
B 4.079 -3.061 -2.070
B 0.233 -2.894 -0.941
B 1.960 -4.097 0.446
B 0.653 -1.682 2.435
Ir 3.495 -4.794 -0.995
Ir -0.882 -0.985 3.876
Ir 1.109 -3.876 2.443
Ir 1.505 -1.903 0.438
```

Output
Its total magnetization is 0.0 μB/cell. The value obtained for the total energy is -0.2729 Ha/atom. The value obtained for the density of states at the Fermi level is 3.18 states/eV/cell. Its formation energy is 0.124 eV per atom.

=====

12.
Density functional theory data (PBE) for a relaxed structure of In2PdSe2.

```
10
Lattice="-0.895 1.384 7.313 -3.857 -6.386 0.736 3.631 -2.096 0.841" Properties=species:S:1:pos:R:3 pbc="T T T"
Se -1.330 -1.625 1.696
Se -3.421 -3.378 6.354
Se -3.345 -4.684 2.768
Se -1.406 -0.318 5.281
Pd -2.376 -2.501 4.025
Pd 0.000 0.000 0.000
In -2.083 -5.679 5.713
In -0.358 -2.173 7.000
In 0.963 -1.419 3.177
In -0.763 -4.925 1.890
```

Output
Its total magnetization is 0.0 μB/cell. The value obtained for the total energy is -0.1355 Ha/atom. The value obtained for the density of states at the Fermi level is 5.55 states/eV/cell. As for the uncorrected formation energy: -160 meV/atom.